Record 1
Computed, not measured: an optimized crystal structure of La3Bi2H2 at the PBE-GGA level of DFT.

Structure (CIF):
```
data_La3Bi2H2
_space_group_name_H-M_alt 'P 1 21/c 1'
_space_group_IT_number 14
_space_group_name_Hall '-P 2ybc'
_cell_length_a 6.926
_cell_length_b 6.353
_cell_length_c 8.585
_cell_angle_alpha 90.00
_cell_angle_beta 110.53
_cell_angle_gamma 90.00
loop_
_atom_site_label
_atom_site_fract_x
_atom_site_fract_y
_atom_site_fract_z
La1 0.000 0.000 0.000
La2 0.366 0.123 0.786
Bi1 0.228 0.606 0.894
H1 0.352 0.111 0.068
```

Relative energy among the computed polymorphs   0.0 kJ/mol of atoms
DOS(E_F)   3.45 states/eV/f.u.

Record 2
Computed, not measured: an optimized crystal structure of La3Bi2H2 at the PBE-GGA level of DFT.

Structure (CIF):
```
data_La3Bi2H2
_space_group_name_H-M_alt 'C m c m'
_space_group_IT_number 63
_space_group_name_Hall '-C 2c 2'
_cell_length_a 4.237
_cell_length_b 21.083
_cell_length_c 8.142
_cell_angle_alpha 90.00
_cell_angle_beta 90.00
_cell_angle_gamma 90.00
loop_
_atom_site_label
_atom_site_fract_x
_atom_site_fract_y
_atom_site_fract_z
La1 0.000 0.086 0.029
La2 0.000 0.296 0.250
Bi1 0.000 0.326 0.750
Bi2 0.000 0.473 0.250
H1 0.000 0.181 0.611
```

Relative energy among the computed polymorphs   5.3 kJ/mol of atoms
DOS(E_F)   4.41 states/eV/f.u.

Record 3
Computed, not measured: an optimized crystal structure of La3BiH at the PBE-GGA level of DFT.

Structure (CIF):
```
data_La3BiH
_space_group_name_H-M_alt 'C m m m'
_space_group_IT_number 65
_space_group_name_Hall '-C 2 2'
_cell_length_a 10.240
_cell_length_b 13.533
_cell_length_c 4.165
_cell_angle_alpha 90.00
_cell_angle_beta 90.00
_cell_angle_gamma 90.00
loop_
_atom_site_label
_atom_site_fract_x
_atom_site_fract_y
_atom_site_fract_z
La1 0.000 0.195 0.000
La2 0.204 0.377 0.500
Bi1 0.000 0.000 0.500
Bi2 0.000 0.500 0.000
H1 0.250 0.250 0.000
```

Relative energy among the computed polymorphs   12.4 kJ/mol of atoms
DOS(E_F)   4.74 states/eV/f.u.